(1)
Below is a geometry-optimized Pm6C2N structure, with properties calculated at the PBE level.

Geometry as POSCAR:
```
Pm6C2N
1.0
8.3546 -1.8283 0.0000
8.3546 1.8283 0.0000
-2.2980 0.0000 7.3176
Pm C N
6 2 1
Direct
0.0071 0.0071 0.2293
0.3261 0.3261 0.4338
0.3431 0.3431 0.9021
0.6569 0.6569 0.0979
0.6739 0.6739 0.5662
0.9929 0.9929 0.7707
0.1646 0.1646 0.3297
0.8354 0.8354 0.6703
0.5000 0.5000 0.0000
```

Properties
Space group: No. 12
Raw formation energy: -0.407 eV per atom
Raw total energy: -6.549 eV/atom
E above lowest polymorph: 0.000 eV per atom

---

(2)
Below is a geometry-optimized PmCN2 structure, with properties calculated at the PBE level.

Geometry as POSCAR:
```
PmCN2
1.0
1.8098 1.0449 5.3969
-1.8098 1.0449 5.3969
0.0000 -2.0898 5.3969
Pm C N
1 1 2
Direct
0.0000 0.0000 0.0000
0.5000 0.5000 0.5000
0.4235 0.4235 0.4235
0.5765 0.5765 0.5765
```

Properties
Space group: No. 166
Raw formation energy: -0.636 eV per atom
Raw total energy: -8.292 eV/atom
E above lowest polymorph: 0.000 eV per atom